# 1
Density functional theory data (PBE-GGA) for a relaxed Tb3Ce2Tl3 crystal.

a b c (Å): 4.4958 4.8218 10.8993
angles (deg): 102.78 101.90 90.00
With the nearest neighbours (Å) after each atom.
Positions (direct):
1 Ce 0.7443 0.2443 0.4885  4 Ce 3.30, 4 Tl 3.32-3.61, 4 Tb 3.55-3.62
2 Tb 0.3809 0.3809 0.7619  6 Tl 3.30-3.34, 2 Tb 3.45, 4 Ce 3.55-3.62
3 Tb 0.5000 0.0000 0.0000  8 Tl 3.30-3.46, 4 Tb 3.45
4 Tl 0.8735 0.8735 0.7470  6 Tb 3.30-3.46, 4 Ce 3.32-3.61, 2 Tl 3.57
5 Ce 0.2557 0.7557 0.5115  4 Ce 3.30, 4 Tl 3.32-3.61, 4 Tb 3.55-3.62
6 Tb 0.6191 0.6191 0.2381  6 Tl 3.30-3.34, 2 Tb 3.45, 4 Ce 3.55-3.62
7 Tl 0.1265 0.1265 0.2530  6 Tb 3.30-3.46, 4 Ce 3.32-3.61, 2 Tl 3.57
8 Tl 0.0000 0.5000 0.0000  8 Tb 3.30-3.34, 4 Tl 3.57

Computed properties:
* energy of formation from the pure elements: -1.753 eV/f.u.

=====

# 2
Density functional theory data (PBE-GGA) for a relaxed ZrSc3Ag crystal.

a b c (Å): 3.2027 5.7063 12.5500
angles (deg): 94.52 97.33 90.00
With the nearest neighbours (Å) after each atom.
Positions (direct):
1 Sc 0.3443 0.9630 0.6886  3 Ag 2.98-3.00, 1 Zr 3.17, 8 Sc 3.20-3.29
2 Ag 0.2491 0.2491 0.4983  6 Sc 2.97-3.03, 6 Ag 3.20-3.28
3 Zr 0.4466 0.3310 0.8933  9 Sc 3.14-3.35, 3 Zr 3.16-3.20
4 Zr 0.5534 0.6690 0.1067  9 Sc 3.14-3.35, 3 Zr 3.16-3.20
5 Sc 0.6557 0.0370 0.3114  3 Ag 2.98-3.00, 1 Zr 3.17, 8 Sc 3.20-3.29
6 Ag 0.7509 0.7509 0.5017  6 Sc 2.97-3.03, 6 Ag 3.20-3.28
7 Sc 0.8446 0.4586 0.6891  3 Ag 2.97-3.03, 2 Zr 3.14, 7 Sc 3.15-3.29
8 Sc 0.0520 0.1846 0.1040  6 Sc 3.15-3.21, 6 Zr 3.19-3.35
9 Sc 0.9480 0.8154 0.8960  6 Sc 3.15-3.21, 6 Zr 3.19-3.35
10 Sc 0.1554 0.5414 0.3109  3 Ag 2.97-3.03, 2 Zr 3.14, 7 Sc 3.15-3.29

Computed properties:
* energy of formation from the pure elements: -0.038 eV/f.u.

=====

# 3
Density functional theory data (PBE-GGA) for a relaxed Tb2PuPb crystal.

a b c (Å): 3.5310 3.5310 11.1760
angles (deg): 80.91 80.91 60.00
With the nearest neighbours (Å) after each atom.
Positions (direct):
1 Tb 0.2513 0.2513 0.2460  3 Pb 3.39, 3 Pu 3.46, 6 Tb 3.53
2 Pu 0.5000 0.5000 0.5000  6 Tb 3.46, 6 Pu 3.53
3 Tb 0.7487 0.7487 0.7540  3 Pb 3.39, 3 Pu 3.46, 6 Tb 3.53
4 Pb 0.0000 0.0000 0.0000  6 Tb 3.39, 6 Pb 3.53

Computed properties:
* energy of formation from the pure elements: -0.280 eV/f.u.

=====

# 4
Density functional theory data (PBE-GGA) for a relaxed AcPm8Ho6 crystal.

a b c (Å): 9.3348 9.3348 8.6776
angles (deg): 57.46 57.46 60.00
With the nearest neighbours (Å) after each atom.
Positions (direct):
1 Ho 0.2681 0.5457 0.0798  3 Pm 3.22-3.51, 3 Ho 3.54-3.59, 1 Ac 3.58
2 Pm 0.2246 0.9161 0.5162  7 Pm 3.46-3.80, 3 Ho 3.46-3.72
3 Ho 0.8937 0.7319 0.9202  3 Pm 3.22-3.51, 3 Ho 3.54-3.59, 1 Ac 3.58
4 Pm 0.7754 0.0839 0.4838  7 Pm 3.46-3.80, 3 Ho 3.46-3.72
5 Ho 0.5457 0.1063 0.0798  3 Pm 3.22-3.51, 3 Ho 3.54-3.59, 1 Ac 3.58
6 Ho 0.1063 0.2681 0.0798  3 Pm 3.22-3.51, 3 Ho 3.54-3.59, 1 Ac 3.58
7 Pm 0.9161 0.3431 0.5162  7 Pm 3.46-3.80, 3 Ho 3.46-3.72
8 Ac 0.0000 0.0000 0.0000  6 Ho 3.58, 6 Pm 3.88
9 Pm 0.0839 0.6569 0.4838  7 Pm 3.46-3.80, 3 Ho 3.46-3.72
10 Ho 0.7319 0.4543 0.9202  3 Pm 3.22-3.51, 3 Ho 3.54-3.59, 1 Ac 3.58
11 Pm 0.4277 0.4277 0.7169  1 Pm 2.95, 3 Ho 3.22
12 Pm 0.5723 0.5723 0.2831  1 Pm 2.95, 3 Ho 3.22
13 Pm 0.6569 0.7754 0.4838  7 Pm 3.46-3.80, 3 Ho 3.46-3.72
14 Pm 0.3431 0.2246 0.5162  7 Pm 3.46-3.80, 3 Ho 3.46-3.72
15 Ho 0.4543 0.8937 0.9202  3 Pm 3.22-3.51, 3 Ho 3.54-3.59, 1 Ac 3.58

Computed properties:
* energy of formation from the pure elements: 2.456 eV/f.u.

=====

# 5
Density functional theory data (PBE-GGA) for a relaxed Nb2ZnGaCl crystal.

a b c (Å): 4.9418 4.4686 4.9418
angles (deg): 90.00 90.00 90.00
With the nearest neighbours (Å) after each atom.
Positions (direct):
1 Nb 0.5000 0.0000 0.0000  2 Zn 2.47
2 Cl 0.0000 0.5000 0.0000  2 Zn 2.23
3 Ga 0.5000 0.5000 0.5000  8 Nb 3.33, 4 Cl 3.49
4 Nb 0.0000 0.0000 0.5000  2 Zn 2.47
5 Zn 0.0000 0.0000 0.0000  2 Cl 2.23, 4 Nb 2.47

Computed properties:
* ΔE_f (raw): 1.24 eV per atom

=====

# 6
Density functional theory data (PBE-GGA) for a relaxed DyZnAu4 crystal.

a b c (Å): 5.5427 5.5427 5.5427
angles (deg): 60.00 60.00 60.00
With the nearest neighbours (Å) after each atom.
Positions (direct):
1 Au 0.1241 0.6253 0.6253  6 Au 2.76-2.78
2 Au 0.6253 0.1241 0.6253  6 Au 2.76-2.78
3 Au 0.6253 0.6253 0.6253  6 Au 2.76-2.78
4 Dy 0.2500 0.2500 0.2500  12 Au 3.25, 4 Zn 3.39
5 Zn 0.0000 0.0000 0.0000  12 Au 3.25, 4 Dy 3.39
6 Au 0.6253 0.6253 0.1241  6 Au 2.76-2.78

Computed properties:
* energy of formation from the pure elements: -2.114 eV/f.u.

=====

# 7
Density functional theory data (PBE-GGA) for a relaxed Ho2Th2AlGa4 crystal.

a b c (Å): 6.7559 6.7559 6.7559
angles (deg): 94.39 117.50 117.50
With the nearest neighbours (Å) after each atom.
Positions (direct):
1 Al 0.0000 0.0000 0.0000  4 Ga 2.46
2 Ga 0.0000 0.2486 0.7514  1 Al 2.46
3 Th 0.0000 0.6936 0.6936  1 Al 2.81, 4 Ga 3.06
4 Ho 0.5000 0.2500 0.7500  8 Ga 3.38, 4 Th 3.54
5 Ga 0.0000 0.7514 0.2486  1 Al 2.46
6 Th 0.0000 0.3064 0.3064  1 Al 2.81, 4 Ga 3.06
7 Ho 0.5000 0.7500 0.2500  8 Ga 3.38, 4 Th 3.54
8 Ga 0.4971 0.2486 0.2486  1 Al 2.46
9 Ga 0.5029 0.7514 0.7514  1 Al 2.46

Computed properties:
* energy of formation from the pure elements: -1.304 eV/f.u.

=====

# 8
Density functional theory data (PBE-GGA) for a relaxed PmSnTe2S crystal.

a b c (Å): 4.4265 4.4265 14.8042
angles (deg): 90.00 90.00 90.00
With the nearest neighbours (Å) after each atom.
Positions (direct):
1 Te 0.0000 0.5000 0.7023  1 Sn 2.94
2 Te 0.0000 0.5000 0.1215  5 Sn 3.15-3.26
3 Sn 0.0000 0.5000 0.9009  6 Te 2.94-3.26
4 Pm 0.0000 0.5000 0.3790  4 S 2.85
5 Te 0.5000 0.0000 0.8785  5 Sn 3.15-3.26
6 Sn 0.5000 0.0000 0.0991  6 Te 2.94-3.26
7 S 0.0000 0.0000 0.5000  4 Pm 2.85, 4 S 3.13
8 Pm 0.5000 0.0000 0.6210  4 S 2.85
9 S 0.5000 0.5000 0.5000  4 Pm 2.85, 4 S 3.13
10 Te 0.5000 0.0000 0.2977  1 Sn 2.94

Computed properties:
* ΔE_f (raw): -0.94 eV per atom

=====

# 9
Density functional theory data (PBE-GGA) for a relaxed Pa3OsN2O6 crystal.

a b c (Å): 4.8939 6.8674 6.2729
angles (deg): 123.19 91.67 90.00
With the nearest neighbours (Å) after each atom.
Positions (direct):
1 O 0.7388 0.3054 0.1384  1 Os 2.11, 2 Pa 2.27-2.35
2 N 0.7356 0.3333 0.6666  3 Pa 2.14-2.23
3 Pa 0.0000 0.5000 0.0000  2 N 2.14, 4 O 2.35
4 N 0.2644 0.6667 0.3334  3 Pa 2.14-2.23
5 Pa 0.5000 0.5000 0.5000  4 O 2.20-2.27, 2 N 2.23
6 O 0.2750 0.1689 0.3377  1 Os 2.12, 2 Pa 2.20
7 O 0.7388 0.8330 0.1384  1 Os 2.11, 2 Pa 2.27-2.35
8 O 0.2612 0.1670 0.8616  1 Os 2.11, 2 Pa 2.27-2.35
9 O 0.2612 0.6946 0.8616  1 Os 2.11, 2 Pa 2.27-2.35
10 Os 0.5000 0.0000 0.0000  6 O 2.11-2.12
11 Pa 0.5000 0.0000 0.5000  4 O 2.20-2.27, 2 N 2.23
12 O 0.7250 0.8311 0.6623  1 Os 2.12, 2 Pa 2.20

Computed properties:
* ΔE_f (raw): -2.27 eV per atom

=====

# 10
Density functional theory data (PBE-GGA) for a relaxed TaTcF3 crystal.

a b c (Å): 4.2652 4.2652 4.2652
angles (deg): 90.00 90.00 90.00
With the nearest neighbours (Å) after each atom.
Positions (direct):
1 F 0.0000 0.0000 0.5000  2 Ta 2.13
2 F 0.5000 0.0000 0.0000  2 Ta 2.13
3 Tc 0.5000 0.5000 0.5000  12 F 3.02
4 Ta 0.0000 0.0000 0.0000  6 F 2.13
5 F 0.0000 0.5000 0.0000  2 Ta 2.13

Computed properties:
* ΔE_f (raw): -0.66 eV per atom

=====

# 11
Density functional theory data (PBE-GGA) for a relaxed La3Pm8Ho4 crystal.

a b c (Å): 6.9376 9.3533 9.3533
angles (deg): 82.10 112.17 112.17
With the nearest neighbours (Å) after each atom.
Positions (direct):
1 Pm 0.0000 0.7053 0.2947  4 Pm 3.52-3.55, 2 La 3.54, 3 Ho 3.57-3.62
2 Pm 0.7679 0.2963 0.2963  4 Pm 3.36-3.69, 2 La 3.48, 3 Ho 3.63-3.67
3 Ho 0.0000 0.0000 0.5000  8 Pm 3.36-3.67, 2 La 3.47
4 Pm 0.8063 0.7531 0.7531  3 Ho 3.04-3.36, 1 La 3.11, 1 Pm 3.36
5 Pm 0.2321 0.7037 0.7037  4 Pm 3.36-3.69, 2 La 3.48, 3 Ho 3.63-3.67
6 Pm 0.1937 0.2469 0.2469  3 Ho 3.04-3.36, 1 La 3.11, 1 Pm 3.36
7 Pm 0.0000 0.2947 0.7053  4 Pm 3.52-3.55, 2 La 3.54, 3 Ho 3.57-3.62
8 La 0.5000 0.5000 0.0000  2 Ho 3.47, 8 Pm 3.48-3.72
9 Ho 0.5000 0.0000 0.0000  2 Pm 3.05
10 La 0.5000 0.0000 0.5000  2 Ho 3.47, 8 Pm 3.48-3.72
11 Pm 0.5000 0.7521 0.2479  1 Ho 3.05, 1 La 3.10
12 Ho 0.0000 0.0000 0.0000  2 Pm 3.04
13 Pm 0.5000 0.2479 0.7521  1 Ho 3.05, 1 La 3.10
14 La 0.5000 0.5000 0.5000  4 Pm 3.10-3.11
15 Ho 0.0000 0.5000 0.0000  8 Pm 3.36-3.67, 2 La 3.47

Computed properties:
* energy of formation from the pure elements: 4.951 eV/f.u.

=====

# 12
Density functional theory data (PBE-GGA) for a relaxed InCo2Ru crystal.

a b c (Å): 8.6001 8.6001 8.6001
angles (deg): 18.81 18.81 18.81
With the nearest neighbours (Å) after each atom.
Positions (direct):
1 Co 0.9970 0.9970 0.9970  3 Co 2.45, 3 Ru 2.57
2 Co 0.2578 0.2578 0.2578  3 Co 2.45
3 In 0.5026 0.5026 0.5026  3 Co 2.77, 6 In 2.81, 3 Ru 2.87
4 Ru 0.7425 0.7425 0.7425  3 Co 2.57, 6 Ru 2.81, 3 In 2.87

Computed properties:
* energy of formation from the pure elements: 1.587 eV/f.u.